No. 1
DyZrRe | PBE | optimized geometry

Geometry as POSCAR:
```
DyZrRe
1.0
-2.790 1.751 0.665
-1.289 -2.660 1.599
4.539 2.425 4.162
Re Zr Dy
1 1 1
Cartesian
-1.153 0.244 3.009
1.461 1.151 3.094
0.152 0.120 0.323
```

## Properties
- magnetization (μB per formula unit) = 0.00
- SG = I4mm, No. 107
- E (eV/cell) = -25.637
- ΔE_f (eV per atom) = -0.013
- V (Å³ per cell) = 69.7

No. 2
CePrIn2Te4 | PBE | optimized geometry

Geometry as POSCAR:
```
CePrIn2Te4
1.0
-0.161 2.012 -4.077
-0.836 -7.636 -3.736
-7.691 -1.626 -0.500
Ce Pr In Te
1 1 2 4
Cartesian
-4.264 -4.631 -2.118
-8.190 -4.438 -4.406
-7.691 -1.626 -0.500
-3.926 0.193 -2.289
-6.425 -6.784 -3.095
-2.263 -0.466 -5.218
-2.682 -4.960 -4.881
-6.006 -2.289 -3.432
```

## Properties
- ΔE_f (raw) (eV per formula unit) = -7.640
- magnetization (μB per formula unit) = 1.01
- SG = P2/m, No. 10
- E (eV/cell) = -36.397
- V (Å³ per cell) = 291.3

No. 3
SmAgGe | PBE | optimized geometry

Geometry as POSCAR:
```
SmAgGe
1.0
-1.091 -6.373 3.328
6.688 1.883 -2.147
0.696 1.870 3.808
Sm Ag Ge
3 3 3
Cartesian
-0.638 -3.725 1.945
3.909 1.101 -1.255
2.326 -1.866 0.491
0.076 -0.654 2.734
2.015 1.404 1.369
4.549 -2.435 2.791
4.443 0.066 1.582
1.850 -2.686 3.407
0.000 0.000 0.000
```

## Properties
- magnetization (μB per formula unit) = 0.00
- SG = P-62m, No. 189
- E (eV/cell) = -42.370
- ΔE_f (eV per atom) = -0.645
- V (Å³ per cell) = 196.9

No. 4
Li6InPb5 | PBE | optimized geometry

Geometry as POSCAR:
```
Li6InPb5
1.0
-0.349 4.675 1.621
1.186 0.327 -8.592
-6.831 -4.337 3.138
Pb In Li
5 1 6
Cartesian
-5.687 -1.232 2.019
-4.157 -2.782 -0.774
-2.997 0.332 -1.916
-1.837 3.447 -3.059
-0.308 1.897 -5.851
0.000 0.000 0.000
-2.815 -0.609 1.004
-5.846 -0.278 -0.935
-1.659 2.500 -0.140
-4.335 -1.835 -3.693
-0.149 0.942 -2.897
-3.179 1.273 -4.837
```

## Properties
- magnetization (μB per formula unit) = 0.00
- SG = C2/m, No. 12
- E (eV/cell) = -35.896
- ΔE_f (eV per atom) = -0.261
- V (Å³ per cell) = 264.9

No. 5
La5ErIn2 | PBE | optimized geometry

Geometry as POSCAR:
```
La5ErIn2
1.0
5.231 0.000 0.000
-2.616 6.126 0.000
0.000 0.000 16.658
La Er In
10 2 4
Cartesian
2.616 5.712 14.934
2.616 5.712 10.052
0.000 4.323 7.863
0.000 4.323 0.465
2.616 0.318 4.164
0.000 5.809 12.493
2.616 1.804 8.794
2.616 1.804 16.192
0.000 0.415 1.724
0.000 0.415 6.605
2.616 3.081 12.493
0.000 3.045 4.164
2.616 3.311 5.814
2.616 3.311 2.515
0.000 2.815 10.844
0.000 2.815 14.143
```

## Properties
- magnetization (μB per formula unit) = 0.00
- SG = Cmcm, No. 63
- E (eV/cell) = -72.253
- ΔE_f (eV per atom) = -0.181
- V (Å³ per cell) = 533.9

No. 6
AlIrCl2 | PBE | optimized geometry

Geometry as POSCAR:
```
AlIrCl2
1.0
-1.198 -1.331 8.038
-3.929 -2.182 6.901
1.544 -3.460 -1.120
Ir Al Cl
1 1 2
Cartesian
-0.896 -1.743 3.455
-2.687 -5.230 10.365
-0.429 -0.609 1.487
-1.362 -2.877 5.423
```

## Properties
- ΔE_f (raw) (eV per formula unit) = -1.680
- magnetization (μB per formula unit) = 0.00
- SG = C2/m, No. 12
- E (eV/cell) = -17.977
- V (Å³ per cell) = 96.5

No. 7
Hf2Sn2Br | PBE | optimized geometry

Geometry as POSCAR:
```
Hf2Sn2Br
1.0
4.217 0.000 0.000
0.000 4.217 0.000
2.109 2.109 7.189
Hf Sn Br
2 2 1
Cartesian
2.109 2.109 1.495
4.217 4.217 5.693
4.217 2.109 3.594
2.109 4.217 3.594
0.000 0.000 0.000
```

## Properties
- ΔE_f (raw) (eV per formula unit) = 0.755
- magnetization (μB per formula unit) = 0.00
- SG = I4/mmm, No. 139
- E (eV/cell) = -28.830
- V (Å³ per cell) = 127.8

No. 8
ZrNi2Ag | PBE | optimized geometry

Geometry as POSCAR:
```
ZrNi2Ag
1.0
4.989 -0.015 -0.023
3.560 3.495 -0.023
1.450 0.590 3.441
Ag Ni Zr
1 2 1
Cartesian
2.499 1.017 0.849
8.548 3.479 -0.046
7.500 3.053 2.545
5.000 2.035 1.696
```

## Properties
- magnetization (μB per formula unit) = 0.00
- SG = I-4m2, No. 119
- E (eV/cell) = -23.729
- ΔE_f (eV per atom) = -0.192
- V (Å³ per cell) = 60.3